1.
A geometry-optimized LaScPd2Br structure. Source: Alexandria, functional PBE-GGA.

Computed properties:
Total magnetic moment in μB/cell: 0.51
Calculated density in kg/m³: 6036
ΔE_f (raw) in eV/atom: 0.11

Cell: 4.906 4.906 5.448 Å, 90.00 90.00 90.00°
Fractional coordinates of all 5 atoms:
La: 0.000 0.000 0.000
Sc: 0.500 0.500 0.000
Pd: 0.000 0.500 0.500
Pd: 0.500 0.000 0.500
Br: 0.000 0.000 0.500

***

2.
A geometry-optimized BSeF structure. Source: Alexandria, functional PBE-GGA.

Computed properties:
Total magnetic moment in μB/cell: 0.00
Calculated density in kg/m³: 3050
ΔE_f (raw) in eV/atom: -1.27
Energy above the lowest structure with this stoichiometry in kcal/mol of atoms: 0.826

Cell: 3.291 5.927 6.645 Å, 70.37 76.68 89.80°
Fractional coordinates of all 6 atoms:
B: 0.182 0.055 0.146
B: 0.818 0.945 0.854
Se: 0.346 0.184 0.792
Se: 0.654 0.816 0.208
F: 0.134 0.220 0.248
F: 0.866 0.780 0.752

***

3.
A geometry-optimized Ho4TmMg2 structure. Source: Alexandria, functional PBE-GGA.

Computed properties:
Calculated formation energy in meV/atom: -12
Total magnetic moment in μB/cell: 0.00
Calculated density in kg/m³: 7285
Energy above the lowest structure with this stoichiometry in kcal/mol of atoms: 0.000

Cell: 8.525 8.525 8.525 Å, 36.89 36.89 36.89°
Fractional coordinates of all 7 atoms:
Ho: 0.074 0.074 0.074
Ho: 0.346 0.346 0.346
Ho: 0.654 0.654 0.654
Ho: 0.926 0.926 0.926
Tm: 0.500 0.500 0.500
Mg: 0.211 0.211 0.211
Mg: 0.789 0.789 0.789

***

4.
A geometry-optimized Cs2Np2US7 structure. Source: Alexandria, functional PBE-GGA.

Computed properties:
Total magnetic moment in μB/cell: 8.00
Calculated density in kg/m³: 5513
ΔE_f (raw) in eV/atom: -1.14

Cell: 14.316 14.316 14.316 Å, 159.43 159.43 29.26°
Fractional coordinates of all 12 atoms:
Cs: 0.189 0.189 0.000
Cs: 0.811 0.811 0.000
Np: 0.410 0.410 0.000
Np: 0.590 0.590 0.000
U: 0.000 0.000 0.000
S: 0.065 0.565 0.500
S: 0.319 0.319 0.000
S: 0.435 0.935 0.500
S: 0.500 0.500 0.000
S: 0.565 0.065 0.500
S: 0.681 0.681 0.000
S: 0.935 0.435 0.500

***

5.
A geometry-optimized Ga2TeAu structure. Source: Alexandria, functional PBE-GGA.

Computed properties:
Total magnetic moment in μB/cell: 0.00
Calculated density in kg/m³: 6558
ΔE_f (raw) in eV/atom: -0.13

Cell: 7.478 7.478 7.478 Å, 130.69 130.69 72.31°
Fractional coordinates of all 8 atoms:
Ga: 0.087 0.625 0.962
Ga: 0.375 0.337 0.462
Ga: 0.663 0.125 0.038
Ga: 0.875 0.913 0.538
Te: 0.250 0.750 0.500
Te: 0.500 0.500 0.000
Au: 0.000 0.000 0.000
Au: 0.750 0.250 0.500

***

6.
A geometry-optimized ScGeAsBr2 structure. Source: Alexandria, functional PBE-GGA.

Computed properties:
Total magnetic moment in μB/cell: 0.38
Calculated density in kg/m³: 4243
ΔE_f (raw) in eV/atom: 0.05
Energy above the lowest structure with this stoichiometry in kcal/mol of atoms: 8.367

Cell: 5.120 5.120 5.260 Å, 90.00 90.00 90.00°
Fractional coordinates of all 5 atoms:
Sc: 0.000 0.000 0.000
Ge: 0.500 0.500 0.500
As: 0.500 0.500 0.000
Br: 0.000 0.500 0.500
Br: 0.500 0.000 0.500

***

7.
A geometry-optimized NdEr2Zr structure. Source: Alexandria, functional PBE-GGA.

Computed properties:
Calculated formation energy in meV/atom: 165
Total magnetic moment in μB/cell: 0.00
Calculated density in kg/m³: 7978
Energy above the lowest structure with this stoichiometry in kcal/mol of atoms: 2.026

Cell: 3.994 3.994 7.436 Å, 90.00 90.00 90.00°
Fractional coordinates of all 4 atoms:
Nd: 0.000 0.000 0.000
Er: 0.500 0.500 0.281
Er: 0.500 0.500 0.719
Zr: 0.000 0.000 0.500

***

8.
A geometry-optimized TcHg2Os structure. Source: Alexandria, functional PBE-GGA.

Computed properties:
Calculated formation energy in meV/atom: 617
Total magnetic moment in μB/cell: 0.00
Calculated density in kg/m³: 15419
Energy above the lowest structure with this stoichiometry in kcal/mol of atoms: 6.769

Cell: 2.879 2.879 10.379 Å, 90.00 90.00 120.32°
Fractional coordinates of all 4 atoms:
Tc: 0.000 0.000 0.000
Hg: 0.000 0.000 0.544
Hg: 0.500 0.500 0.253
Os: 0.500 0.500 0.800

***

9.
A geometry-optimized La2Pr6Sm3Tm structure. Source: Alexandria, functional PBE-GGA.

Computed properties:
Calculated formation energy in meV/atom: 16
Total magnetic moment in μB/cell: 0.00
Calculated density in kg/m³: 6836

Cell: 6.383 6.383 12.193 Å, 95.05 95.05 120.00°
Fractional coordinates of all 12 atoms:
La: 0.167 0.833 0.000
La: 0.833 0.167 0.000
Pr: 0.085 0.416 0.748
Pr: 0.252 0.252 0.252
Pr: 0.416 0.085 0.748
Pr: 0.584 0.915 0.252
Pr: 0.748 0.748 0.748
Pr: 0.915 0.584 0.252
Sm: 0.000 0.000 0.500
Sm: 0.334 0.666 0.500
Sm: 0.666 0.334 0.500
Tm: 0.500 0.500 0.000

***

10.
A geometry-optimized HoTmZr2P4 structure. Source: Alexandria, functional PBE-GGA.

Computed properties:
Calculated formation energy in meV/atom: -1480
Total magnetic moment in μB/cell: 0.00
Calculated density in kg/m³: 6609

Cell: 6.633 3.826 6.714 Å, 90.00 109.28 90.00°
Fractional coordinates of all 8 atoms:
Ho: 0.000 0.000 0.000
Tm: 0.500 0.500 0.000
Zr: 0.000 0.500 0.500
Zr: 0.500 0.000 0.500
P: 0.248 0.000 0.739
P: 0.255 0.500 0.262
P: 0.745 0.500 0.738
P: 0.752 0.000 0.261